The following is a GGA-PBE calculation of a geometry-optimized LiAcTlPb structure, from the Alexandria database.

Lattice parameters (Å, degrees): 4.829 4.822 6.516 111.72 90.00 120.05
Sites, in units of the cell vectors:
Ac1 0.617 0.234 0.493
Li1 0.113 0.226 0.982
Tl1 0.836 0.673 0.150
Pb1 0.400 0.800 0.842

Summary:
Relative energy among the computed polymorphs ... 0 meV/atom
Theoretical density ... 9.03 Mg/m³
Electronic total energy ... -3.415 eV/atom